Ac3LaAg4 | PBE | optimized geometry

Results
**Symmetry**: P4/mmm
**Size of the total moment**: 0.00 μB/f.u.
**VASP energy**: -3.842 eV per atom

a b c (Å): 3.9335 3.9335 15.6588
angles (deg): 90.00 90.00 90.00
Atoms (fractional coordinates):
Ac 0.0000 0.0000 0.0000
Ac 0.0000 0.0000 0.2542
Ac 0.0000 0.0000 0.7458
La 0.0000 0.0000 0.5000
Ag 0.5000 0.5000 0.1270
Ag 0.5000 0.5000 0.3849
Ag 0.5000 0.5000 0.6151
Ag 0.5000 0.5000 0.8730